SrMg14MnO16, relaxed, DFT PBEsol; crystal system = tetragonal; formation energy without anion corrections = -2.559 eV per atom; offset from the most stable computed form = 0 meV/atom; energy = -201.50 eV per formula unit
1.0
4.363 0.000 0.000
0.000 8.597 0.000
0.000 0.000 8.597
Mg O Sr Mn
14 16 1 1
direct
0.500 0.241 0.500
0.000 0.755 0.245
0.000 0.245 0.245
0.500 0.500 0.759
0.000 0.755 0.755
0.000 0.500 0.000
0.500 0.750 0.000
0.500 0.500 0.241
0.500 0.250 0.000
0.500 0.000 0.250
0.500 0.759 0.500
0.000 0.000 0.500
0.500 0.000 0.750
0.000 0.245 0.755
0.000 0.748 0.000
0.000 0.000 0.252
0.000 0.500 0.771
0.500 0.500 0.000
0.000 0.000 0.748
0.000 0.229 0.500
0.500 0.000 0.000
0.500 0.751 0.751
0.500 0.249 0.249
0.500 0.500 0.500
0.500 0.249 0.751
0.000 0.252 0.000
0.000 0.771 0.500
0.500 0.000 0.500
0.500 0.751 0.249
0.000 0.500 0.229
0.000 0.500 0.500
0.000 0.000 0.000